Record 1
A plane-wave DFT calculation with PBE-GGA was carried out for a relaxed structure of K2AcPuO4.

Computed properties:
Theoretical density   6.7 g cm⁻³
Energy   -7.495 eV/atom
Formation energy (no corrections)   -2.44 eV per atom

a = 3.7217 Å, b = 6.4703 Å, c = 6.6791 Å
α = 108.92°, β = 90.00°, γ = 90.00°
Atoms (fractional coordinates):
O (0.0000, 0.7143, 0.1875)
O (0.5000, 0.7529, 0.8058)
O (0.5000, 0.2471, 0.1942)
K (0.5000, 0.0000, 0.5000)
O (0.0000, 0.2857, 0.8125)
Ac (0.0000, 0.0000, 0.0000)
Pu (0.5000, 0.5000, 0.0000)
K (0.0000, 0.5000, 0.5000)

Record 2
A plane-wave DFT calculation with PBE-GGA was carried out for a relaxed structure of Lu3Pd.

Computed properties:
Formation energy from the elements   -239 meV/atom
Theoretical density   9.6 g cm⁻³
Energy   -4.928 eV/atom

a = 3.5440 Å, b = 3.4305 Å, c = 9.0115 Å
α = 90.00°, β = 90.00°, γ = 90.00°
Atoms (fractional coordinates):
Lu (0.5000, 0.0000, 0.7418)
Lu (0.0000, 0.5000, 0.4705)
Pd (0.0000, 0.0000, 0.9859)
Lu (0.5000, 0.5000, 0.1351)

Record 3
A plane-wave DFT calculation with PBE-GGA was carried out for a relaxed structure of LiHo2Pu.

Computed properties:
Formation energy from the elements   193 meV/atom
Theoretical density   9.0 g cm⁻³
Energy   -6.158 eV/atom

a = 3.5244 Å, b = 5.5289 Å, c = 5.5289 Å
α = 90.00°, β = 90.00°, γ = 90.00°
Atoms (fractional coordinates):
Pu (0.5000, 0.0000, 0.0000)
Ho (0.0000, 0.5000, 0.0000)
Ho (0.0000, 0.0000, 0.5000)
Li (0.5000, 0.5000, 0.5000)

Record 4
A plane-wave DFT calculation with PBE-GGA was carried out for a relaxed structure of ZrTi2Te.

Computed properties:
Theoretical density   6.5 g cm⁻³
Energy   -7.276 eV/atom
Formation energy (no corrections)   -0.41 eV per atom

a = 3.7088 Å, b = 5.5110 Å, c = 8.3177 Å
α = 90.00°, β = 90.00°, γ = 109.64°
Atoms (fractional coordinates):
Ti (0.6318, 0.2626, 0.0403)
Te (0.2340, 0.4673, 0.2500)
Ti (0.3682, 0.7374, 0.9597)
Te (0.7660, 0.5327, 0.7500)
Ti (0.6318, 0.2626, 0.4597)
Zr (0.0484, 0.0965, 0.7500)
Ti (0.3682, 0.7374, 0.5403)
Zr (0.9516, 0.9035, 0.2500)

Record 5
A plane-wave DFT calculation with PBE-GGA was carried out for a relaxed structure of Ho2ThZn.

Computed properties:
Formation energy from the elements   -28 meV/atom
Theoretical density   9.2 g cm⁻³
Energy   -4.491 eV/atom

a = 3.5525 Å, b = 3.5525 Å, c = 10.5456 Å
α = 80.30°, β = 80.30°, γ = 60.00°
Atoms (fractional coordinates):
Th (0.5005, 0.5005, 0.4984)
Ho (0.2617, 0.2617, 0.2149)
Zn (0.6662, 0.6662, 0.0013)
Ho (0.0715, 0.0715, 0.7854)

Record 6
A plane-wave DFT calculation with PBE-GGA was carried out for a relaxed structure of CrAgBr2.

Computed properties:
Theoretical density   5.9 g cm⁻³
Energy   -3.870 eV/atom
Formation energy (no corrections)   0.08 eV per atom

a = 5.0062 Å, b = 5.0062 Å, c = 3.5806 Å
α = 90.00°, β = 90.00°, γ = 90.02°
Atoms (fractional coordinates):
Ag (0.0000, 0.5000, 0.5000)
Br (0.0000, 0.0000, 0.0000)
Br (0.5000, 0.5000, 0.0000)
Cr (0.5000, 0.0000, 0.5000)

Record 7
A plane-wave DFT calculation with PBE-GGA was carried out for a relaxed structure of LaTb8Pm4.

Computed properties:
Formation energy from the elements   172 meV/atom
Theoretical density   7.6 g cm⁻³
Energy   -4.518 eV/atom

a = 7.4202 Å, b = 7.4202 Å, c = 10.0410 Å
α = 90.00°, β = 111.68°, γ = 120.00°
Atoms (fractional coordinates):
Tb (0.4980, 0.7490, 0.6900)
Tb (0.4383, 0.2192, 0.6575)
Tb (0.9410, 0.1920, 0.6900)
Tb (0.0590, 0.2510, 0.3100)
Pm (0.5000, 0.0000, 0.0000)
Tb (0.5617, 0.7808, 0.3425)
La (0.0000, 0.5000, 0.5000)
Tb (0.9410, 0.7490, 0.6900)
Tb (0.5020, 0.2510, 0.3100)
Pm (0.0000, 0.5000, 0.0000)
Pm (0.5000, 0.5000, 0.0000)
Tb (0.0590, 0.8080, 0.3100)
Pm (0.0000, 0.0000, 0.0000)

Record 8
A plane-wave DFT calculation with PBE-GGA was carried out for a relaxed structure of UMn4Pt.

Computed properties:
Formation energy from the elements   41 meV/atom
Theoretical density   12.6 g cm⁻³
Energy   -8.960 eV/atom

a = 4.9531 Å, b = 4.9531 Å, c = 4.9531 Å
α = 60.00°, β = 60.00°, γ = 60.00°
Atoms (fractional coordinates):
Mn (0.6253, 0.1242, 0.6253)
Mn (0.6253, 0.6253, 0.6253)
Mn (0.6253, 0.6253, 0.1242)
Pt (0.0000, 0.0000, 0.0000)
U (0.2500, 0.2500, 0.2500)
Mn (0.1242, 0.6253, 0.6253)

Record 9
A plane-wave DFT calculation with PBE-GGA was carried out for a relaxed structure of NdLuHg2.

Computed properties:
Formation energy from the elements   -474 meV/atom
Theoretical density   11.4 g cm⁻³
Energy   -2.947 eV/atom

a = 3.6862 Å, b = 3.6862 Å, c = 7.7164 Å
α = 90.00°, β = 90.00°, γ = 90.00°
Atoms (fractional coordinates):
Nd (0.5000, 0.5000, 0.5000)
Hg (0.0000, 0.0000, 0.2261)
Lu (0.5000, 0.5000, 0.0000)
Hg (0.0000, 0.0000, 0.7739)

Record 10
A plane-wave DFT calculation with PBE-GGA was carried out for a relaxed structure of RbTePdI6.

Computed properties:
Theoretical density   4.1 g cm⁻³
Energy   -2.452 eV/atom
Formation energy (no corrections)   -0.39 eV per atom

a = 9.3383 Å, b = 7.7852 Å, c = 7.6979 Å
α = 82.41°, β = 77.09°, γ = 53.02°
Atoms (fractional coordinates):
Rb (0.0433, 0.9139, 0.0003)
Te (0.6740, 0.6520, 0.5000)
I (0.0058, 0.6367, 0.6767)
I (0.5985, 0.0416, 0.2663)
Pd (0.3284, 0.3424, 0.4997)
I (0.6487, 0.3692, 0.7601)
I (0.9844, 0.3664, 0.2406)
I (0.3583, 0.0437, 0.7333)
I (0.3585, 0.6342, 0.3230)

Record 11
A plane-wave DFT calculation with PBE-GGA was carried out for a relaxed structure of ScTcAu2.

Computed properties:
Formation energy from the elements   -170 meV/atom
Theoretical density   12.8 g cm⁻³
Energy   -5.983 eV/atom

a = 5.0915 Å, b = 5.0915 Å, c = 4.0804 Å
α = 66.39°, β = 66.39°, γ = 47.24°
Atoms (fractional coordinates):
Sc (0.7500, 0.7500, 0.7500)
Tc (0.2500, 0.2500, 0.2500)
Au (0.9999, 0.9999, 0.0001)
Au (0.5001, 0.5001, 0.4999)

Record 12
A plane-wave DFT calculation with PBE-GGA was carried out for a relaxed structure of MgGaCuRh.

Computed properties:
Formation energy from the elements   -402 meV/atom
Theoretical density   7.5 g cm⁻³
Energy   -4.419 eV/atom

a = 3.4367 Å, b = 4.0580 Å, c = 4.1320 Å
α = 90.00°, β = 90.00°, γ = 90.00°
Atoms (fractional coordinates):
Rh (0.0000, 0.5000, 0.5000)
Cu (0.0000, 0.0000, 0.0000)
Mg (0.5000, 0.5000, 0.0000)
Ga (0.5000, 0.0000, 0.5000)